Here is a relaxed structure of PaAu3 from Alexandria. Energies are from PBE.

Output
DOS at the Fermi energy = 1.17 states/eV per atom
space-group type = No. 99
energy of formation from the pure elements = -156.5 meV/atom
energy above the lowest structure with this stoichiometry = 1.06 eV per formula unit

Geometry as extended XYZ:
```
4
Lattice="3.9657 0.0000 0.0000 0.0000 3.9685 0.0000 0.0000 0.0000 5.5954" Properties=species:S:1:pos:R:3 pbc="T T T"
Pa 0.0000 0.0000 5.5361
Au 0.0000 1.9843 3.2322
Au 1.9828 1.9843 1.0578
Au 1.9828 0.0000 3.2297
```